Here is a relaxed Li5AcPd2 crystal from the Alexandria database. Energies are from PBE-GGA.

Calculated values
energy of formation from the pure elements: -0.36 eV/atom
crystal system: orthorhombic
symmetry: No. 71
Fermi-level density of states: 0.391 states/eV/atom

Cell: 6.6725 6.6725 6.6725 Å, 144.20 104.21 86.76°
Fractional positions:
Li: 0.0000 0.0000 0.0000
Li: 0.0103 0.3311 0.6792
Li: 0.3481 0.6689 0.6792
Li: 0.6519 0.3311 0.3208
Li: 0.9897 0.6689 0.3208
Ac: 0.5000 0.0000 0.5000
Pd: 0.2703 0.2703 0.0000
Pd: 0.7297 0.7297 0.0000

***

Here is a relaxed LiAc12Pd7 crystal from the Alexandria database. Energies are from PBE-GGA.

Calculated values
energy of formation from the pure elements: -0.49 eV/atom
crystal system: trigonal
symmetry: No. 148
Fermi-level density of states: 1.118 states/eV/atom

Cell: 9.7164 9.7164 9.7164 Å, 110.33 110.33 110.33°
Fractional positions:
Li: 0.0000 0.0000 0.0000
Ac: 0.1128 0.2617 0.6650
Ac: 0.1150 0.4055 0.3247
Ac: 0.2617 0.6650 0.1128
Ac: 0.3247 0.1150 0.4055
Ac: 0.3350 0.8872 0.7383
Ac: 0.4055 0.3247 0.1150
Ac: 0.5945 0.6753 0.8850
Ac: 0.6650 0.1128 0.2617
Ac: 0.6753 0.8850 0.5945
Ac: 0.7383 0.3350 0.8872
Ac: 0.8850 0.5945 0.6753
Ac: 0.8872 0.7383 0.3350
Pd: 0.0326 0.2628 0.9450
Pd: 0.0550 0.9674 0.7372
Pd: 0.2628 0.9450 0.0326
Pd: 0.5000 0.5000 0.5000
Pd: 0.7372 0.0550 0.9674
Pd: 0.9450 0.0326 0.2628
Pd: 0.9674 0.7372 0.0550

***

Here is a relaxed LiAc2Pd crystal from the Alexandria database. Energies are from PBE-GGA.

Calculated values
energy of formation from the pure elements: -0.28 eV/atom
crystal system: trigonal
symmetry: No. 160
Fermi-level density of states: 0.915 states/eV/atom

Cell: 8.8718 8.8718 8.8718 Å, 28.90 28.90 28.90°
Fractional positions:
Li: 0.0000 0.0000 0.0000
Ac: 0.5646 0.5646 0.5646
Ac: 0.7666 0.7666 0.7666
Pd: 0.1648 0.1648 0.1648

***

Here is a relaxed LiAc2Pd2 crystal from the Alexandria database. Energies are from PBE-GGA.

Calculated values
energy of formation from the pure elements: -0.64 eV/atom
crystal system: tetragonal
symmetry: No. 127
Fermi-level density of states: 0.621 states/eV/atom

Cell: 8.1118 8.1118 4.1600 Å, 90.00 90.00 90.00°
Fractional positions:
Li: 0.0000 0.0000 0.0000
Li: 0.5000 0.5000 0.0000
Ac: 0.1710 0.3290 0.5000
Ac: 0.3290 0.8290 0.5000
Ac: 0.6710 0.1710 0.5000
Ac: 0.8290 0.6710 0.5000
Pd: 0.1293 0.6293 0.0000
Pd: 0.3707 0.1293 0.0000
Pd: 0.6293 0.8707 0.0000
Pd: 0.8707 0.3707 0.0000

***

Q: Among the records above, which one has the lowest energy of formation from the pure elements?
A: LiAc2Pd2